No. 1
The following is a PBE calculation of a relaxed AcPr12Nd3 crystal, from Alexandria.

The total energy is -4.723 eV per atom. As for the formation energy: 0.012 eV per atom.

It has space group P4/mmm (No. 123), with a = 5.2684 Å, b = 5.2684 Å, c = 21.0502 Å, α = 90.00°, β = 90.00° and γ = 90.00°. The distinct sites, in fractional coordinates, are Ac at (0.0000, 0.0000, 0.0000), Pr at (0.0000, 0.5000, 0.1290), Pr at (0.0000, 0.5000, 0.3763), Pr at (0.5000, 0.5000, 0.0000), Pr at (0.5000, 0.5000, 0.2532), Pr at (0.5000, 0.5000, 0.5000), Nd at (0.0000, 0.0000, 0.2522) and Nd at (0.0000, 0.0000, 0.5000).



No. 2
The following is a PBE calculation of a relaxed Ac3PrNd3 crystal, from Alexandria.

The total energy is -4.455 eV per atom. As for the formation energy: 0.032 eV per atom.

It has space group R-3 (No. 148, hexagonal axes), with a = 10.1056 Å, b = 10.1056 Å, c = 18.7586 Å, α = 90.00°, β = 90.00° and γ = 120.00°. The distinct sites, in fractional coordinates, are Ac at (0.0429, 0.8025, 0.4158), Pr at (0.0000, 0.0000, 0.2449) and Nd at (0.0497, 0.8149, 0.9169).



| no. | D(E_F) (states/eV/atom) |
| --- | --- |
| 1 | 1.633 |
| 2 | 1.783 |